{"formula": "MgTiPdC2", "functional": "PBE", "state": "relaxed", "final_energy_ev_per_atom": -4.843, "density_g_cm3": 4.1, "delta_e_f_mev_per_atom": 1783, "crystal_system": "tetragonal", "sg": "P4/mmm, No. 123", "volume_a3_per_cell": 81, "dos_at_fermi_per_ev_atom": 0.679, "cell": [[4.076, 0.000, 0.000], [0.000, 4.891, 0.000], [0.000, 0.000, 4.076]], "species": ["Mg", "C", "C", "Pd", "Ti"], "frac_coords": [[0.500, 0.500, 0.500], [0.000, 0.000, 0.500], [0.500, 0.000, 0.000], [0.000, 0.000, 0.000], [0.000, 0.500, 0.000]]}